Record 1
Material: Mg2GaCu
Method: DFT, PBE-GGA
State: optimized geometry

```
Mg2GaCu
1.0
-6.266 -3.067 -2.921
5.977 -0.535 4.603
4.231 4.086 4.754
Mg Ga Cu
2 1 1
Cartesian
8.359 2.908 7.662
1.850 0.643 1.695
5.104 1.776 4.679
0.000 0.000 0.000
```

Results
Total magnetization (μB per cell): 0.00

Record 2
Material: Mg2GaCu
Method: DFT, PBE-GGA
State: optimized geometry

```
Mg2GaCu
1.0
3.360 0.000 0.000
0.000 3.360 0.000
0.000 0.000 6.115
Mg Ga Cu
2 1 1
Cartesian
0.000 0.000 4.666
0.000 0.000 1.449
1.680 1.680 3.057
1.680 1.680 0.000
```

Results
Total magnetization (μB per cell): 0.00

Record 3
Material: MgGaCu2
Method: DFT, PBE-GGA
State: optimized geometry

```
MgGaCu2
1.0
3.158 0.000 0.000
0.000 3.158 0.000
0.000 0.000 5.905
Cu Ga Mg
2 1 1
Cartesian
0.000 0.000 1.373
0.000 0.000 4.532
1.579 1.579 0.000
1.579 1.579 2.952
```

Results
Total magnetization (μB per cell): 0.00

Record 4
Material: Mg5Ga2Cu
Method: DFT, PBE-GGA
State: optimized geometry

```
Mg5Ga2Cu
1.0
4.597 0.000 0.000
-2.298 3.981 0.000
0.000 0.000 17.541
Mg Ga Cu
10 4 2
Cartesian
0.000 0.000 2.794
0.000 2.654 16.672
0.000 0.000 5.976
2.298 1.327 0.868
0.000 2.654 13.155
0.000 0.000 11.564
2.298 1.327 4.385
0.000 2.654 9.638
2.298 1.327 7.902
0.000 0.000 14.747
0.000 2.654 6.836
2.298 1.327 15.606
0.000 2.654 1.934
2.298 1.327 10.705
0.000 2.654 4.385
2.298 1.327 13.155
```

Results
Total magnetization (μB per cell): 0.00

no.,formation energy (eV per formula unit),total energy (eV per atom)
1,0.49,-2.456
2,-0.46,-2.694
3,-0.37,-3.296
4,-0.84,-2.370